(1)
Entry from Alexandria via LeMat-Bulk: Ba4Pa3NbN8 after structural relaxation (PBE).

Computed properties:
- uncorrected formation energy (kJ/mol of formula units) = -1765
- DFT total energy (eV per cell) = -131.15
- D(E_F) (states/eV per cell) = 7.19

Cell: 7.6196 7.6196 7.6196 Å, 55.69 55.69 55.69°
Closest atoms and distances in Å follow each position.
Positions (direct):
Ba: 0.0000 0.0000 0.0000  6 N 2.99
Ba: 0.0000 0.5000 0.5000  6 N 2.93-2.96
Ba: 0.5000 0.0000 0.5000  6 N 2.93-2.96
Ba: 0.5000 0.5000 0.0000  6 N 2.93-2.96
Pa: 0.0000 0.0000 0.5000  6 N 2.32-2.35
Pa: 0.0000 0.5000 0.0000  6 N 2.32-2.35
Pa: 0.5000 0.0000 0.0000  6 N 2.32-2.35
Nb: 0.5000 0.5000 0.5000  6 N 2.27
N: 0.2230 0.2230 0.2230  3 Pa 2.32
N: 0.2325 0.7184 0.7184  1 Nb 2.27, 2 Pa 2.35
N: 0.2816 0.2816 0.7675  1 Nb 2.27, 2 Pa 2.35
N: 0.2816 0.7675 0.2816  1 Nb 2.27, 2 Pa 2.35
N: 0.7184 0.2325 0.7184  1 Nb 2.27, 2 Pa 2.35
N: 0.7184 0.7184 0.2325  1 Nb 2.27, 2 Pa 2.35
N: 0.7675 0.2816 0.2816  1 Nb 2.27, 2 Pa 2.35
N: 0.7770 0.7770 0.7770  3 Pa 2.32

---

(2)
Entry from Alexandria via LeMat-Bulk: BaPrNbN3 after structural relaxation (PBE).

Computed properties:
- uncorrected formation energy (kJ/mol of formula units) = -510
- DFT total energy (eV per cell) = -94.08

Cell: 7.3227 7.3227 7.8408 Å, 104.85 104.85 32.59°
Closest atoms and distances in Å follow each position.
Positions (direct):
Ba: 0.1480 0.1480 0.0760  6 N 2.78-3.11
Ba: 0.8520 0.8520 0.9240  6 N 2.78-3.11
Pr: 0.1566 0.1566 0.5780  7 N 2.53-2.75
Pr: 0.8434 0.8434 0.4220  7 N 2.53-2.75
Nb: 0.4987 0.4987 0.7008  4 N 2.03-2.12
Nb: 0.5013 0.5013 0.2992  4 N 2.03-2.12
N: 0.0045 0.0045 0.3171  2 Nb 2.06
N: 0.3431 0.3431 0.6555  1 Nb 2.12
N: 0.3528 0.3528 0.1977  1 Nb 2.03
N: 0.6472 0.6472 0.8023  1 Nb 2.03
N: 0.6569 0.6569 0.3445  1 Nb 2.12
N: 0.9955 0.9955 0.6829  2 Nb 2.06

---

(3)
Entry from Alexandria via LeMat-Bulk: BaPu2NbN4 after structural relaxation (PBE).

Computed properties:
- uncorrected formation energy (kJ/mol of formula units) = -769
- DFT total energy (eV per cell) = -163.85
- D(E_F) (states/eV per cell) = 21.94

Cell: 6.5317 6.5317 12.2696 Å, 90.00 90.00 148.54°
Closest atoms and distances in Å follow each position.
Positions (direct):
Ba: 0.0939 0.9061 0.7500  6 N 2.88-3.07
Ba: 0.9061 0.0939 0.2500  6 N 2.88-3.07
Pu: 0.3711 0.6289 0.5349  5 N 2.35-2.58
Pu: 0.3711 0.6289 0.9651  5 N 2.35-2.58
Pu: 0.6289 0.3711 0.0349  5 N 2.35-2.58
Pu: 0.6289 0.3711 0.4651  5 N 2.35-2.58
Nb: 0.1697 0.8303 0.2500  4 N 1.97-2.06
Nb: 0.8303 0.1697 0.7500  4 N 1.97-2.06
N: 0.0000 0.0000 0.0000  4 Pu 2.44
N: 0.0000 0.0000 0.5000  4 Pu 2.44
N: 0.2552 0.7448 0.1157  1 Nb 1.97
N: 0.2552 0.7448 0.3843  1 Nb 1.97
N: 0.4136 0.5864 0.7500  2 Nb 2.06
N: 0.5864 0.4136 0.2500  2 Nb 2.06
N: 0.7448 0.2552 0.6157  1 Nb 1.97
N: 0.7448 0.2552 0.8843  1 Nb 1.97

---

(4)
Entry from Alexandria via LeMat-Bulk: Ba2NbReN5 after structural relaxation (PBE).

Computed properties:
- uncorrected formation energy (kJ/mol of formula units) = -516
- DFT total energy (eV per cell) = -146.67
- D(E_F) (states/eV per cell) = 6.88

Cell: 8.0083 8.0083 11.7708 Å, 90.00 90.00 155.46°
Closest atoms and distances in Å follow each position.
Positions (direct):
Ba: 0.1085 0.8915 0.5000  6 N 2.74-2.92
Ba: 0.1429 0.8571 0.1584  7 N 2.75-3.02
Ba: 0.8571 0.1429 0.6584  7 N 2.75-3.02
Ba: 0.8915 0.1085 0.0000  6 N 2.74-2.92
Nb: 0.2137 0.7863 0.8733  1 N 1.85
Nb: 0.7863 0.2137 0.3733  1 N 1.85
Re: 0.4420 0.5580 0.2715  4 N 1.79-1.94
Re: 0.5580 0.4420 0.7715  4 N 1.79-1.94
N: 0.0371 0.9629 0.8462  2 Re 1.94
N: 0.2919 0.7081 0.4735  2 Nb 2.07
N: 0.3263 0.6737 0.2371  1 Re 1.86
N: 0.3289 0.6711 0.8381  1 Nb 1.85
N: 0.5002 0.4998 0.1410  1 Re 1.79
N: 0.4998 0.5002 0.6410  1 Re 1.79
N: 0.6711 0.3289 0.3381  1 Nb 1.85
N: 0.6737 0.3263 0.7371  1 Re 1.86
N: 0.7081 0.2919 0.9735  2 Nb 2.07
N: 0.9629 0.0371 0.3462  2 Re 1.94

---

(5)
Entry from Alexandria via LeMat-Bulk: BaNbS2N after structural relaxation (PBE).

Computed properties:
- uncorrected formation energy (kJ/mol of formula units) = 776
- ΔE to the lowest computed polymorph (eV/atom) = 2.735
- DFT total energy (eV per cell) = -20.53
- D(E_F) (states/eV per cell) = 8.33

Cell: 5.5462 5.5462 4.1875 Å, 90.00 90.00 90.00°
Closest atoms and distances in Å follow each position.
Positions (direct):
Ba: 0.0000 0.0000 0.0000  2 N 2.09
Nb: 0.5000 0.5000 0.5000  8 S 3.47
S: 0.0000 0.5000 0.0000  2 Ba 2.77
S: 0.5000 0.0000 0.0000  2 Ba 2.77
N: 0.0000 0.0000 0.5000  2 Ba 2.09

---

(6)
Entry from Alexandria via LeMat-Bulk: BaNbS2N after structural relaxation (PBE).

Computed properties:
- uncorrected formation energy (kJ/mol of formula units) = -543
- ΔE to the lowest computed polymorph (eV/atom) = 0.000
- DFT total energy (eV per cell) = -34.20
- D(E_F) (states/eV per cell) = 1.08

Cell: 5.0580 5.0580 4.0538 Å, 90.00 90.00 90.00°
Closest atoms and distances in Å follow each position.
Positions (direct):
Ba: 0.0000 0.0000 0.0000  8 S 3.24, 4 N 3.58
Nb: 0.5000 0.5000 0.5000  2 N 2.03
S: 0.0000 0.5000 0.5000  2 Nb 2.53
S: 0.5000 0.0000 0.5000  2 Nb 2.53
N: 0.5000 0.5000 0.0000  2 Nb 2.03

---

(7)
Entry from Alexandria via LeMat-Bulk: BaNbSe2N after structural relaxation (PBE).

Computed properties:
- uncorrected formation energy (kJ/mol of formula units) = 679
- ΔE to the lowest computed polymorph (eV/atom) = 2.385
- DFT total energy (eV per cell) = -20.25
- D(E_F) (states/eV per cell) = 8.55

Cell: 5.9347 5.9347 4.4200 Å, 90.00 90.00 90.00°
Closest atoms and distances in Å follow each position.
Positions (direct):
Ba: 0.0000 0.0000 0.0000  2 N 2.21
Nb: 0.5000 0.5000 0.5000  8 Se 3.70
Se: 0.0000 0.5000 0.0000  2 Ba 2.97
Se: 0.5000 0.0000 0.0000  2 Ba 2.97
N: 0.0000 0.0000 0.5000  2 Ba 2.21

---

(8)
Entry from Alexandria via LeMat-Bulk: BaNbSeN2 after structural relaxation (PBE).

Computed properties:
- uncorrected formation energy (kJ/mol of formula units) = -254
- ΔE to the lowest computed polymorph (eV/atom) = 0.000
- DFT total energy (eV per cell) = -34.76
- D(E_F) (states/eV per cell) = 2.49

Cell: 4.2694 4.2694 5.2977 Å, 90.00 90.00 90.00°
Closest atoms and distances in Å follow each position.
Positions (direct):
Ba: 0.0000 0.0000 0.0000  4 Se 3.02
Nb: 0.5000 0.5000 0.5000  4 N 2.13
Se: 0.5000 0.5000 0.0000  2 Nb 2.65
N: 0.0000 0.5000 0.5000  2 Nb 2.13
N: 0.5000 0.0000 0.5000  2 Nb 2.13

---

(9)
Entry from Alexandria via LeMat-Bulk: BaNbSe2N after structural relaxation (PBE).

Computed properties:
- uncorrected formation energy (kJ/mol of formula units) = -472
- ΔE to the lowest computed polymorph (eV/atom) = 0.000
- DFT total energy (eV per cell) = -32.17
- D(E_F) (states/eV per cell) = 1.17

Cell: 5.3327 5.3327 4.0445 Å, 90.00 90.00 90.00°
Closest atoms and distances in Å follow each position.
Positions (direct):
Ba: 0.0000 0.0000 0.0000  8 Se 3.35
Nb: 0.5000 0.5000 0.5000  2 N 2.02
Se: 0.0000 0.5000 0.5000  2 Nb 2.67
Se: 0.5000 0.0000 0.5000  2 Nb 2.67
N: 0.5000 0.5000 0.0000  2 Nb 2.02

---

(10)
Entry from Alexandria via LeMat-Bulk: BaNbSeN2 after structural relaxation (PBE).

Computed properties:
- uncorrected formation energy (kJ/mol of formula units) = 957
- ΔE to the lowest computed polymorph (eV/atom) = 2.510
- DFT total energy (eV per cell) = -22.21
- D(E_F) (states/eV per cell) = 8.57

Cell: 4.2828 4.2828 6.1471 Å, 90.00 90.00 90.00°
Closest atoms and distances in Å follow each position.
Positions (direct):
Ba: 0.0000 0.0000 0.0000  4 N 2.14
Nb: 0.5000 0.5000 0.5000  4 Se 3.03
Se: 0.0000 0.0000 0.5000  4 Nb 3.03, 2 Ba 3.07
N: 0.0000 0.5000 0.0000  2 Ba 2.14
N: 0.5000 0.0000 0.0000  2 Ba 2.14

---

(11)
Entry from Alexandria via LeMat-Bulk: Ba2NbSi2N6 after structural relaxation (PBE).

Computed properties:
- uncorrected formation energy (kJ/mol of formula units) = -749
- DFT total energy (eV per cell) = -82.48
- D(E_F) (states/eV per cell) = 4.98

Cell: 6.6755 6.6755 6.6755 Å, 51.58 51.58 51.58°
Closest atoms and distances in Å follow each position.
Positions (direct):
Ba: 0.2158 0.2158 0.2158  9 N 2.98-3.00
Ba: 0.7842 0.7842 0.7842  9 N 2.98-3.00
Nb: 0.0000 0.0000 0.0000  6 N 2.12
Si: 0.4097 0.4097 0.4097  3 N 1.67
Si: 0.5903 0.5903 0.5903  3 N 1.67
N: 0.2413 0.2413 0.7391  1 Si 1.67
N: 0.2413 0.7391 0.2413  1 Si 1.67
N: 0.2609 0.7587 0.7587  1 Si 1.67
N: 0.7391 0.2413 0.2413  1 Si 1.67
N: 0.7587 0.2609 0.7587  1 Si 1.67
N: 0.7587 0.7587 0.2609  1 Si 1.67

---

(12)
Entry from Alexandria via LeMat-Bulk: BaSm2NbN4 after structural relaxation (PBE).

Computed properties:
- uncorrected formation energy (kJ/mol of formula units) = -882
- DFT total energy (eV per cell) = -127.75
- D(E_F) (states/eV per cell) = 5.62

Cell: 6.6473 6.6473 12.3843 Å, 90.00 90.00 148.81°
Closest atoms and distances in Å follow each position.
Positions (direct):
Ba: 0.0889 0.9111 0.7500  6 N 2.92-3.12
Ba: 0.9111 0.0889 0.2500  6 N 2.92-3.12
Sm: 0.3716 0.6284 0.5354  6 N 2.42-2.70
Sm: 0.3716 0.6284 0.9646  6 N 2.42-2.70
Sm: 0.6284 0.3716 0.0354  6 N 2.42-2.70
Sm: 0.6284 0.3716 0.4646  6 N 2.42-2.70
Nb: 0.1738 0.8262 0.2500  4 N 1.94-2.07
Nb: 0.8262 0.1738 0.7500  4 N 1.94-2.07
N: 0.0000 0.0000 0.0000  4 Sm 2.47
N: 0.0000 0.0000 0.5000  4 Sm 2.47
N: 0.2569 0.7431 0.1194  1 Nb 1.94
N: 0.2569 0.7431 0.3806  1 Nb 1.94
N: 0.4083 0.5917 0.7500  2 Nb 2.07
N: 0.5917 0.4083 0.2500  2 Nb 2.07
N: 0.7431 0.2569 0.6194  1 Nb 1.94
N: 0.7431 0.2569 0.8806  1 Nb 1.94

---

Q: The lowest DFT total energy belongs to which entry?
A: BaPu2NbN4

---

Q: Number 3 is which compound?
A: BaPu2NbN4

---

Q: Among the records above, which one has the highest uncorrected formation energy?
A: number 10